FePtW2 | PBE-GGA | relaxed

Output
ΔE to the lowest computed polymorph: 132 meV/atom
magnetic moment: 2.65 μB per cell

a = 3.911 Å, b = 3.911 Å, c = 7.723 Å
α = 90.00°, β = 90.00°, γ = 90.00°
Space group I-4m2 (No. 119)
Symmetry-distinct sites (fractional):
Fe: 0.000 0.000 0.000 (multiplicity 2)
Pt: 0.000 0.500 0.250 (multiplicity 2)
W: 0.000 0.000 0.500 (multiplicity 2)
W: 0.000 0.500 0.750 (multiplicity 2)

=====

Fe2PtW2 | PBE-GGA | relaxed

Output
magnetic moment: 0.00 μB per cell

a = 6.974 Å, b = 6.974 Å, c = 2.826 Å
α = 90.00°, β = 90.00°, γ = 90.00°
Space group P4/mbm (No. 127)
Symmetry-distinct sites (fractional):
Fe: 0.130 0.370 0.000 (multiplicity 4)
Pt: 0.000 0.000 0.000 (multiplicity 2)
W: 0.168 0.668 0.500 (multiplicity 4)

=====

FePt2W | PBE-GGA | relaxed

Output
magnetic moment: 3.42 μB per cell

a = 2.757 Å, b = 2.757 Å, c = 7.824 Å
α = 90.00°, β = 90.00°, γ = 90.00°
Space group P4/mmm (No. 123)
Symmetry-distinct sites (fractional):
Fe: 0.000 0.000 0.000 (multiplicity 1)
Pt: 0.500 0.500 0.243 (multiplicity 2)
W: 0.000 0.000 0.500 (multiplicity 1)

=====

Number 1: energy -0.737 Ry/atom, V 118.14 Å³/cell. Number 2: energy -0.718 Ry/atom, V 137.44 Å³/cell. Number 3: energy -0.633 Ry/atom, V 59.46 Å³/cell.